# 1
Here is a relaxed structure of LaPaNO from OQMD via LeMat-Bulk. Energies are from PBE.

## Properties
For the distance to the lowest polymorph of the same formula, the calculation gives 0.628 eV/atom. Its symmetry is P4/nmm, No. 129.

Cell: 4.017 4.017 8.629 Å, 90.00 90.00 90.00°
Fractional coordinates of all 8 atoms:
O: 0.250 0.750 0.000
O: 0.750 0.250 0.000
La: 0.750 0.250 0.500
La: 0.250 0.750 0.500
N: 0.250 0.250 0.703
N: 0.750 0.750 0.297
Pa: 0.750 0.750 0.853
Pa: 0.250 0.250 0.147



# 2
Here is a relaxed structure of DySbN2O from OQMD via LeMat-Bulk. Energies are from PBE.

## Properties
Its symmetry is Pmc2_1, No. 26. The value obtained for the electronic total energy is -35.230 eV/f.u.

Cell: 7.814 5.576 5.773 Å, 90.00 90.00 90.00°
Fractional coordinates of all 20 atoms:
N: 0.200 0.569 0.811
N: 0.800 0.569 0.811
N: 0.200 0.431 0.311
N: 0.800 0.431 0.311
N: 0.500 0.651 0.540
N: 0.000 0.128 0.948
N: 0.500 0.349 0.040
N: 0.000 0.872 0.448
O: 0.690 0.054 0.697
O: 0.310 0.054 0.697
O: 0.310 0.946 0.197
O: 0.690 0.946 0.197
Dy: 0.000 0.264 0.557
Dy: 0.500 0.754 0.937
Dy: 0.000 0.736 0.057
Dy: 0.500 0.246 0.437
Sb: 0.246 0.262 0.001
Sb: 0.246 0.738 0.501
Sb: 0.754 0.738 0.501
Sb: 0.754 0.262 0.001



# 3
Here is a relaxed structure of CsGdAlTe3 from OQMD via LeMat-Bulk. Energies are from PBE.

## Properties
For the distance to the lowest polymorph of the same formula, the calculation gives 0.039 eV/atom. Its symmetry is Pnma, No. 62.

Cell: 12.140 5.134 13.716 Å, 90.00 90.00 90.00°
Fractional coordinates of all 24 atoms:
Te: 0.411 0.750 0.937
Te: 0.444 0.250 0.314
Te: 0.296 0.250 0.705
Te: 0.911 0.750 0.563
Te: 0.556 0.750 0.686
Te: 0.944 0.250 0.186
Te: 0.204 0.750 0.205
Te: 0.796 0.250 0.795
Te: 0.704 0.750 0.295
Te: 0.589 0.250 0.063
Te: 0.056 0.750 0.814
Te: 0.089 0.250 0.437
Cs: 0.323 0.750 0.493
Cs: 0.177 0.250 0.993
Cs: 0.823 0.750 0.007
Cs: 0.677 0.250 0.507
Al: 0.274 0.750 0.776
Al: 0.226 0.250 0.276
Al: 0.726 0.250 0.224
Al: 0.774 0.750 0.724
Gd: 0.030 0.250 0.672
Gd: 0.470 0.750 0.172
Gd: 0.530 0.250 0.828
Gd: 0.970 0.750 0.328



# 4
Here is a relaxed structure of PmSm2Tc from OQMD via LeMat-Bulk. Energies are from PBE.

## Properties
Its energy of formation from the pure elements is -0.0204 eV per atom. Its symmetry is Cmcm, No. 63.

Cell: 3.981 9.400 6.423 Å, 90.00 108.04 90.00°
Fractional coordinates of all 8 atoms:
Sm: 0.645 0.931 0.790
Sm: 0.355 0.431 0.210
Sm: 0.355 0.069 0.210
Sm: 0.645 0.569 0.790
Tc: 0.739 0.250 0.978
Tc: 0.261 0.750 0.022
Pm: 0.075 0.250 0.650
Pm: 0.925 0.750 0.350



# 5
Here is a relaxed structure of Nd2DyZn3AgHg2 from OQMD via LeMat-Bulk. Energies are from PBE.

## Properties
Its energy of formation from the pure elements is -0.3432 eV per atom. Its symmetry is Amm2, No. 38.

Cell: 4.128 7.654 7.654 Å, 119.97 90.00 90.00°
Fractional coordinates of all 9 atoms:
Hg: 0.000 0.336 0.659
Hg: 0.000 0.659 0.336
Nd: 0.500 0.595 0.000
Nd: 0.500 0.000 0.595
Zn: 0.000 0.003 0.243
Zn: 0.000 0.243 0.003
Zn: 0.000 0.758 0.758
Dy: 0.500 0.402 0.402
Ag: 0.500 0.005 0.005



# 6
Here is a relaxed structure of LiNbTeMo from OQMD via LeMat-Bulk. Energies are from PBE.

## Properties
For the distance to the lowest polymorph of the same formula, the calculation gives 0.386 eV/atom. Its symmetry is F-43m, No. 216.

Cell: 4.561 4.561 4.561 Å, 60.00 60.00 60.00°
Fractional coordinates of all 4 atoms:
Mo: 0.000 0.000 0.000
Nb: 0.500 0.500 0.500
Li: 0.750 0.750 0.750
Te: 0.250 0.250 0.250



# 7
Here is a relaxed structure of Tb2Tl2O5 from OQMD via LeMat-Bulk. Energies are from PBE.

## Properties
For the distance to the lowest polymorph of the same formula, the calculation gives 0.000 eV/atom. Its symmetry is P4/mmm, No. 123.

Cell: 8.556 4.168 4.168 Å, 90.00 90.00 90.00°
Fractional coordinates of all 9 atoms:
Tb: 0.246 0.500 0.500
Tb: 0.754 0.500 0.500
O: 0.162 0.000 0.500
O: 0.838 0.500 0.000
O: 0.838 0.000 0.500
O: 0.500 0.500 0.500
O: 0.162 0.500 0.000
Tl: 0.500 0.000 0.000
Tl: 0.000 0.000 0.000



Mass density readings, ordered: 9.541 8.669 5.438 7.900 9.164 8.002 9.012 Mg/m³